No. 1
A relaxed Zr2ReSb crystal. Source: Alexandria, functional GGA-PBE.

Calculated values
- ΔE_f (raw): -6.455 kcal/mol of atoms
- DOS at the Fermi energy: 0.63 states/eV/atom
- Raw total energy: -34.79 eV/cell
- Space-group type: P4/mmm (123)

abc: 3.591 3.591 6.235
angles: 90.00 90.00 90.00
Fractional coordinates of all 4 atoms:
Re (0.500, 0.500, 0.250)
Sb (0.500, 0.500, 0.750)
Zr (0.000, 0.000, 0.010)
Zr (0.000, 0.000, 0.490)

=====

No. 2
A relaxed Sc3Re crystal. Source: Alexandria, functional GGA-PBE.

Calculated values
- DOS at the Fermi energy: 1.06 states/eV/atom
- Raw total energy: -30.77 eV/cell
- Space-group type: Cmmm (65)

abc: 3.069 5.239 5.239
angles: 110.56 90.00 90.00
Fractional coordinates of all 4 atoms:
Re (0.000, 0.000, 0.000)
Sc (0.500, 0.000, 0.500)
Sc (0.500, 0.500, 0.000)
Sc (0.000, 0.500, 0.500)

=====

No. 3
A relaxed ScRe crystal. Source: Alexandria, functional GGA-PBE.

Calculated values
- DOS at the Fermi energy: 0.76 states/eV/atom
- Raw total energy: -151.37 eV/cell
- Space-group type: Pnma (62)

abc: 6.525 4.615 9.341
angles: 90.00 90.00 90.00
Fractional coordinates of all 16 atoms:
Sc (0.862, 0.250, 0.979)
Sc (0.362, 0.250, 0.521)
Sc (0.138, 0.750, 0.021)
Sc (0.638, 0.750, 0.479)
Sc (0.117, 0.250, 0.253)
Sc (0.617, 0.250, 0.247)
Sc (0.883, 0.750, 0.747)
Sc (0.383, 0.750, 0.753)
Re (0.884, 0.250, 0.519)
Re (0.384, 0.250, 0.981)
Re (0.116, 0.750, 0.481)
Re (0.616, 0.750, 0.019)
Re (0.144, 0.250, 0.767)
Re (0.644, 0.250, 0.733)
Re (0.856, 0.750, 0.233)
Re (0.356, 0.750, 0.267)

=====

No. 4
A relaxed ScRe5 crystal. Source: Alexandria, functional GGA-PBE.

Calculated values
- DOS at the Fermi energy: 0.70 states/eV/atom
- Raw total energy: -67.54 eV/cell
- Space-group type: P-62m (189)
- E above lowest polymorph: 0.54 eV per formula unit

abc: 4.806 4.806 4.679
angles: 90.00 90.00 120.00
Fractional coordinates of all 6 atoms:
Sc (0.000, 0.000, 0.500)
Re (0.667, 0.000, 0.000)
Re (0.333, 0.333, 0.000)
Re (0.000, 0.667, 0.000)
Re (0.667, 0.333, 0.500)
Re (0.333, 0.667, 0.500)

=====

No. 5
A relaxed Sc5Re crystal. Source: Alexandria, functional GGA-PBE.

Calculated values
- DOS at the Fermi energy: 1.10 states/eV/atom
- Raw total energy: -39.51 eV/cell
- Space-group type: P6/mmm (191)
- E above lowest polymorph: 4.83 eV per formula unit

abc: 5.323 5.323 5.425
angles: 90.00 90.00 120.00
Fractional coordinates of all 6 atoms:
Sc (0.000, 0.500, 0.500)
Sc (0.333, 0.667, 0.000)
Sc (0.500, 0.000, 0.500)
Sc (0.500, 0.500, 0.500)
Sc (0.667, 0.333, 0.000)
Re (0.000, 0.000, 0.000)

=====

No. 6
A relaxed Sc2Re crystal. Source: Alexandria, functional GGA-PBE.

Calculated values
- DOS at the Fermi energy: 0.76 states/eV/atom
- Raw total energy: -75.41 eV/cell
- Space-group type: P-62m (189)

abc: 7.588 7.588 3.502
angles: 90.00 90.00 120.00
Fractional coordinates of all 9 atoms:
Sc (0.000, 0.274, 0.000)
Sc (0.000, 0.610, 0.500)
Sc (0.274, 0.000, 0.000)
Sc (0.726, 0.726, 0.000)
Sc (0.610, 0.000, 0.500)
Sc (0.390, 0.390, 0.500)
Re (0.000, 0.000, 0.500)
Re (0.333, 0.667, 0.000)
Re (0.667, 0.333, 0.000)

=====

No. 7
A relaxed Sc4Re3 crystal. Source: Alexandria, functional GGA-PBE.

Calculated values
- DOS at the Fermi energy: 1.25 states/eV/atom
- Raw total energy: -63.50 eV/cell
- Space-group type: P6/mmm (191)
- E above lowest polymorph: 0.00 eV per formula unit

abc: 5.269 5.269 5.507
angles: 90.00 90.00 120.00
Site moments in Bohr magnetons follow the coordinates.
Fractional coordinates of all 7 atoms:
Sc (0.000, 0.000, 0.247)  0.17
Sc (0.000, 0.000, 0.753)  0.17
Sc (0.667, 0.333, 0.500)  0.18
Sc (0.333, 0.667, 0.500)  0.18
Re (0.000, 0.500, 0.000)  0.03
Re (0.500, 0.500, 0.000)  0.03
Re (0.500, 0.000, 0.000)  0.03

=====

No. 8
A relaxed ScRe crystal. Source: Alexandria, functional GGA-PBE.

Calculated values
- DOS at the Fermi energy: 0.78 states/eV/atom
- Raw total energy: -36.91 eV/cell
- Space-group type: Pmmn (59)

abc: 2.931 4.363 5.455
angles: 90.00 90.00 90.00
Fractional coordinates of all 4 atoms:
Re (0.000, 0.000, 0.975)
Re (0.500, 0.500, 0.775)
Sc (0.000, 0.000, 0.504)
Sc (0.500, 0.500, 0.246)

=====

No. 9
A relaxed Sc2Re crystal. Source: Alexandria, functional GGA-PBE.

Calculated values
- DOS at the Fermi energy: 0.79 states/eV/atom
- Raw total energy: -24.52 eV/cell
- Space-group type: P4/mmm (123)

abc: 4.636 4.636 3.093
angles: 90.00 90.00 90.00
Fractional coordinates of all 3 atoms:
Re (0.000, 0.000, 0.000)
Sc (0.000, 0.500, 0.500)
Sc (0.500, 0.000, 0.500)

=====

No. 10
A relaxed Sc5Re3 crystal. Source: Alexandria, functional GGA-PBE.

Calculated values
- DOS at the Fermi energy: 0.79 states/eV/atom
- Raw total energy: -136.89 eV/cell
- Space-group type: C2/m (12)
- E above lowest polymorph: 0.12 eV per formula unit

abc: 5.269 8.053 8.062
angles: 83.68 70.32 70.90
Fractional coordinates of all 16 atoms:
Sc (0.213, 0.701, 0.860)
Sc (0.920, 0.858, 0.300)
Sc (0.744, 0.500, 0.510)
Sc (0.414, 0.300, 0.860)
Sc (0.721, 0.859, 0.701)
Sc (0.279, 0.141, 0.300)
Sc (0.586, 0.700, 0.141)
Sc (0.256, 0.500, 0.491)
Sc (0.080, 0.141, 0.701)
Sc (0.787, 0.300, 0.141)
Re (0.665, 0.169, 0.500)
Re (0.251, 0.999, 0.001)
Re (0.203, 0.500, 0.167)
Re (0.797, 0.500, 0.834)
Re (0.749, 0.001, 0.000)
Re (0.335, 0.831, 0.500)

=====

No. 11
A relaxed Sc3Re crystal. Source: Alexandria, functional GGA-PBE.

Calculated values
- DOS at the Fermi energy: 1.41 states/eV/atom
- Raw total energy: -31.38 eV/cell
- Space-group type: P4/mmm (123)

abc: 3.278 3.278 7.928
angles: 90.00 90.00 90.00
Site moments in Bohr magnetons follow the coordinates.
Fractional coordinates of all 4 atoms:
Re (0.000, 0.000, 0.000)  0.01
Sc (0.000, 0.000, 0.500)  0.16
Sc (0.500, 0.500, 0.195)  0.01
Sc (0.500, 0.500, 0.805)  0.01

=====

No. 12
A relaxed ScRe crystal. Source: Alexandria, functional GGA-PBE.

Calculated values
- DOS at the Fermi energy: 1.74 states/eV/atom
- Raw total energy: -124.31 eV/cell
- Space-group type: I-43m (217)

abc: 8.187 8.187 8.187
angles: 90.00 90.00 90.00
Site moments in Bohr magnetons follow the coordinates.
Fractional coordinates of all 16 atoms:
Sc (0.206, 0.206, 0.206)  0.29
Sc (0.206, 0.794, 0.794)  0.29
Sc (0.794, 0.206, 0.794)  0.29
Sc (0.794, 0.794, 0.206)  0.29
Sc (0.706, 0.706, 0.706)  0.29
Sc (0.706, 0.294, 0.294)  0.29
Sc (0.294, 0.706, 0.294)  0.29
Sc (0.294, 0.294, 0.706)  0.29
Re (0.389, 0.389, 0.389)  0.98
Re (0.389, 0.611, 0.611)  0.98
Re (0.611, 0.389, 0.611)  0.98
Re (0.611, 0.611, 0.389)  0.98
Re (0.889, 0.889, 0.889)  0.98
Re (0.889, 0.111, 0.111)  0.98
Re (0.111, 0.889, 0.111)  0.98
Re (0.111, 0.111, 0.889)  0.98